# SrMnTe2, optimized geometry, DFT PBE-GGA
# Calculated volume ... 35.0 Å³/atom
# Energy relative to the elements, uncorrected ... -0.741 eV/atom
# Magnetization ... 5.00 μB per formula unit
data_SrMnTe2
_chemical_formula_sum 'Sr2 Mn2 Te4'
_cell_length_a 13.372
_cell_length_b 4.368
_cell_length_c 4.795
_cell_angle_alpha 90.00
_cell_angle_beta 91.10
_cell_angle_gamma 90.00
_symmetry_space_group_name_H-M 'C 1 m 1'
_symmetry_Int_Tables_number 8
_symmetry_space_group_name_Hall 'C -2y'
loop_
_atom_site_label
_atom_site_type_symbol
_atom_site_fract_x
_atom_site_fract_y
_atom_site_fract_z
_atom_site_occupancy
Sr1 Sr 0.000 0.000 0.000 1
Mn1 Mn 0.267 0.000 0.309 1
Te1 Te 0.213 0.500 0.004 1
Te2 Te 0.453 0.000 0.499 1